No. 1
The following is a DFT calculation (PBE) of Zr3FeSi3 after structural relaxation.

Unit cell a=9.956 b=3.874 c=12.914 alpha=90.00 beta=110.55 gamma=90.00
Space group C2/m (No. 12)
Unique sites:
Zr: 0.024 0.000 0.380 x4
Zr: 0.105 0.000 0.919 x4
Zr: 0.245 0.000 0.227 x4
Fe: 0.239 0.500 0.413 x4
Si: 0.042 0.500 0.239 x4
Si: 0.115 0.500 0.075 x4
Si: 0.137 0.500 0.549 x4

- calculated volume (A^3/atom) = 16.7
- crystal system = monoclinic
- E_form (uncorrected) (kJ/mol of formula units) = -588
- total DFT energy (no corrections) (eV per cell) = -225.876

***

No. 2
The following is a DFT calculation (PBE) of ZrFeSi2 after structural relaxation.

Unit cell a=3.8523 b=3.8523 c=13.7173 alpha=90.00 beta=90.00 gamma=120.00
Space group R-3m (No. 166, hexagonal axes)
Unique sites:
Zr: 0.0000 0.0000 0.0000 x3
Fe: 0.0000 0.0000 0.5000 x3
Si: 0.0000 0.0000 0.2123 x6

- calculated volume (A^3/atom) = 14.7
- crystal system = trigonal
- E_form (uncorrected) (kJ/mol of formula units) = -250
- total DFT energy (no corrections) (eV per cell) = -91.345